one:
## LiZn2Cu5 (PBE-GGA)

Data for crystalline LiZn2Cu5 at its relaxed geometry.

a b c (Å): 5.2112 5.2112 5.2099
angles (deg): 119.82 119.82 90.32
Last column: nearest neighbours and their distance in Å.
Atoms (fractional coordinates):
Zn: 0.2779 0.7779 0.5000  10 Cu 2.60-2.61, 2 Li 2.61
Zn: 0.7779 0.2779 0.5000  10 Cu 2.60-2.61, 2 Li 2.61
Cu: 0.2778 0.2778 0.0000  8 Cu 2.60-2.61, 4 Zn 2.61
Cu: 0.2779 0.7779 0.0000  4 Zn 2.60-2.61, 2 Li 2.61, 6 Cu 2.61
Cu: 0.2779 0.2779 0.5000  2 Li 2.60-2.61, 6 Cu 2.60-2.61, 4 Zn 2.61
Cu: 0.7779 0.7779 0.5000  2 Li 2.60-2.61, 6 Cu 2.60-2.61, 4 Zn 2.61
Cu: 0.7779 0.2779 0.0000  4 Zn 2.60-2.61, 2 Li 2.61, 6 Cu 2.61
Li: 0.7778 0.7778 0.0000  8 Cu 2.60-2.61, 4 Zn 2.61

Properties
N(E_F) (states/eV per cell): 0.99
Symmetry: I4/mmm (139)
ρ (Mg/m³): 7.54
Volume (Å³ per atom): 12.5

---

two:
## LiZn2Cu5 (PBE-GGA)

Data for crystalline LiZn2Cu5 at its relaxed geometry.

a b c (Å): 3.6203 5.9022 5.9022
angles (deg): 76.76 72.14 72.14
Last column: nearest neighbours and their distance in Å.
Atoms (fractional coordinates):
Cu: 0.6497 0.5280 0.1726  3 Zn 2.42-2.53, 6 Cu 2.55-2.71
Cu: 0.0000 0.5000 0.5000  2 Zn 2.47, 8 Cu 2.57
Cu: 0.6497 0.1726 0.5280  3 Zn 2.42-2.53, 6 Cu 2.55-2.71
Cu: 0.3503 0.4720 0.8274  3 Zn 2.42-2.53, 6 Cu 2.55-2.71
Cu: 0.3503 0.8274 0.4720  3 Zn 2.42-2.53, 6 Cu 2.55-2.71
Zn: 0.7104 0.7896 0.7896  7 Cu 2.42-2.53, 2 Li 2.55
Zn: 0.2896 0.2104 0.2104  7 Cu 2.42-2.53, 2 Li 2.55
Li: 0.0000 0.0000 0.0000  4 Zn 2.55

Properties
N(E_F) (states/eV per cell): 3.05
Symmetry: Immm (71)
ρ (Mg/m³): 6.69
Volume (Å³ per atom): 14.1

---

Short version: one is the most stable of them.